Entry P
An optimized crystal structure of Ce2SiH. Source: Alexandria, functional PBE.

Lattice parameters (Å, degrees): 5.318 5.318 9.730 90.00 90.00 120.00
Fractional coordinates of all 12 atoms:
Ce: 0.073 0.350 0.366
Ce: 0.276 0.927 0.033
Ce: 0.350 0.073 0.634
Ce: 0.650 0.724 0.699
Ce: 0.724 0.650 0.301
Ce: 0.927 0.276 0.967
Si: 0.000 0.402 0.667
Si: 0.402 0.000 0.333
Si: 0.598 0.598 0.000
H: 0.000 0.524 0.167
H: 0.476 0.476 0.500
H: 0.524 0.000 0.833

=====

Entry Q
An optimized crystal structure of Ce2SiH. Source: Alexandria, functional PBE.

Lattice parameters (Å, degrees): 4.076 4.076 23.199 90.00 90.00 120.00
Fractional coordinates of all 12 atoms:
Ce: 0.000 0.000 0.095
Ce: 0.000 0.000 0.905
Ce: 0.333 0.667 0.572
Ce: 0.333 0.667 0.761
Ce: 0.667 0.333 0.239
Ce: 0.667 0.333 0.428
Si: 0.000 0.000 0.500
Si: 0.333 0.667 0.167
Si: 0.667 0.333 0.833
H: 0.000 0.000 0.000
H: 0.333 0.667 0.667
H: 0.667 0.333 0.333

=====

What should be chosen as the most stable of them? Choose entry P.

=====

Entry P
An optimized crystal structure of Ce2SnH. Source: Alexandria, functional PBE.

Lattice parameters (Å, degrees): 3.306 3.306 7.466 90.00 90.00 90.00
Fractional coordinates of all 4 atoms:
Ce: 0.000 0.000 0.184
Ce: 0.000 0.000 0.816
Sn: 0.500 0.500 0.500
H: 0.500 0.500 0.000

=====

Entry Q
An optimized crystal structure of Ce2SnH. Source: Alexandria, functional PBE.

Lattice parameters (Å, degrees): 4.346 4.346 17.396 90.00 90.00 120.00
Fractional coordinates of all 12 atoms:
Ce: 0.000 0.000 0.227
Ce: 0.000 0.000 0.773
Ce: 0.333 0.667 0.439
Ce: 0.333 0.667 0.894
Ce: 0.667 0.333 0.106
Ce: 0.667 0.333 0.561
Sn: 0.000 0.000 0.000
Sn: 0.333 0.667 0.667
Sn: 0.667 0.333 0.333
H: 0.000 0.000 0.500
H: 0.333 0.667 0.167
H: 0.667 0.333 0.833

=====

Entry R
An optimized crystal structure of Ce2SnH. Source: Alexandria, functional PBE.

Lattice parameters (Å, degrees): 4.726 16.687 4.387 90.00 90.00 90.00
Fractional coordinates of all 16 atoms:
Ce: 0.000 0.000 0.000
Ce: 0.000 0.195 0.500
Ce: 0.000 0.500 0.500
Ce: 0.000 0.805 0.500
Ce: 0.500 0.000 0.500
Ce: 0.500 0.305 0.500
Ce: 0.500 0.500 0.000
Ce: 0.500 0.695 0.500
Sn: 0.000 0.353 0.000
Sn: 0.000 0.647 0.000
Sn: 0.500 0.147 0.000
Sn: 0.500 0.853 0.000
H: 0.000 0.058 0.500
H: 0.000 0.942 0.500
H: 0.500 0.442 0.500
H: 0.500 0.558 0.500

=====

Entry S
An optimized crystal structure of Ce2SnH. Source: Alexandria, functional PBE.

Lattice parameters (Å, degrees): 7.207 4.800 10.421 90.00 90.00 90.00
Fractional coordinates of all 16 atoms:
Ce: 0.098 0.250 0.190
Ce: 0.142 0.250 0.557
Ce: 0.358 0.750 0.057
Ce: 0.402 0.750 0.690
Ce: 0.598 0.250 0.310
Ce: 0.642 0.250 0.943
Ce: 0.858 0.750 0.443
Ce: 0.902 0.750 0.810
Sn: 0.190 0.250 0.871
Sn: 0.310 0.750 0.371
Sn: 0.690 0.250 0.629
Sn: 0.810 0.750 0.129
H: 0.082 0.750 0.619
H: 0.418 0.250 0.119
H: 0.582 0.750 0.881
H: 0.918 0.250 0.381

=====

What should be chosen as the most stable of them? Choose entry S.

=====

Entry P
An optimized crystal structure of Ce6Sn3H. Source: Alexandria, functional PBE.

Lattice parameters (Å, degrees): 6.368 6.368 7.930 103.77 103.77 58.52
Fractional coordinates of all 10 atoms:
Ce: 0.100 0.645 0.625
Ce: 0.148 0.148 0.888
Ce: 0.355 0.900 0.375
Ce: 0.645 0.100 0.625
Ce: 0.852 0.852 0.112
Ce: 0.900 0.355 0.375
Sn: 0.356 0.356 0.270
Sn: 0.500 0.500 0.000
Sn: 0.644 0.644 0.730
H: 0.000 0.000 0.500

=====

Entry Q
An optimized crystal structure of Ce6Sn3H. Source: Alexandria, functional PBE.

Lattice parameters (Å, degrees): 10.529 10.529 4.680 90.00 90.00 101.59
Fractional coordinates of all 20 atoms:
Ce: 0.060 0.940 0.750
Ce: 0.073 0.575 0.750
Ce: 0.250 0.750 0.250
Ce: 0.274 0.396 0.250
Ce: 0.396 0.274 0.750
Ce: 0.425 0.927 0.750
Ce: 0.575 0.073 0.250
Ce: 0.604 0.726 0.250
Ce: 0.726 0.604 0.750
Ce: 0.750 0.250 0.750
Ce: 0.927 0.425 0.250
Ce: 0.940 0.060 0.250
Sn: 0.066 0.267 0.750
Sn: 0.267 0.066 0.250
Sn: 0.396 0.604 0.750
Sn: 0.604 0.396 0.250
Sn: 0.733 0.934 0.750
Sn: 0.934 0.733 0.250
H: 0.204 0.796 0.750
H: 0.796 0.204 0.250

=====

What should be chosen as the most stable of them? Choose entry Q.

=====

Entry P
An optimized crystal structure of Ce4Sn2H. Source: Alexandria, functional PBE.

Lattice parameters (Å, degrees): 4.805 15.716 4.526 90.00 90.00 90.00
Fractional coordinates of all 14 atoms:
Ce: 0.000 0.000 0.000
Ce: 0.000 0.183 0.500
Ce: 0.000 0.500 0.500
Ce: 0.000 0.817 0.500
Ce: 0.500 0.000 0.500
Ce: 0.500 0.317 0.500
Ce: 0.500 0.500 0.000
Ce: 0.500 0.683 0.500
Sn: 0.000 0.349 0.000
Sn: 0.000 0.651 0.000
Sn: 0.500 0.151 0.000
Sn: 0.500 0.849 0.000
H: 0.000 0.000 0.500
H: 0.500 0.500 0.500

=====

Entry Q
An optimized crystal structure of Ce4Sn2H. Source: Alexandria, functional PBE.

Lattice parameters (Å, degrees): 3.189 5.972 18.226 90.00 90.00 90.00
Fractional coordinates of all 14 atoms:
Ce: 0.000 0.000 0.000
Ce: 0.000 0.000 0.351
Ce: 0.000 0.500 0.500
Ce: 0.000 0.500 0.851
Ce: 0.500 0.232 0.676
Ce: 0.500 0.268 0.176
Ce: 0.500 0.732 0.176
Ce: 0.500 0.768 0.676
Sn: 0.500 0.000 0.513
Sn: 0.500 0.000 0.838
Sn: 0.500 0.500 0.013
Sn: 0.500 0.500 0.338
H: 0.000 0.000 0.130
H: 0.000 0.500 0.630

=====

What should be chosen as the most stable of them? Choose entry P.

=====

Entry P
An optimized crystal structure of CeSnH. Source: Alexandria, functional PBE.

Lattice parameters (Å, degrees): 3.254 3.254 11.625 90.00 90.00 90.00
Fractional coordinates of all 6 atoms:
Ce: 0.000 0.000 0.000
Ce: 0.500 0.500 0.500
Sn: 0.000 0.000 0.282
Sn: 0.500 0.500 0.782
H: 0.000 0.000 0.550
H: 0.500 0.500 0.050

=====

Entry Q
An optimized crystal structure of CeSnH. Source: Alexandria, functional PBE.

Lattice parameters (Å, degrees): 3.825 3.825 5.011 90.00 90.00 120.00
Fractional coordinates of all 3 atoms:
Ce: 0.000 0.000 0.000
Sn: 0.333 0.667 0.500
H: 0.667 0.333 0.001

=====

Entry R
An optimized crystal structure of CeSnH. Source: Alexandria, functional PBE.

Lattice parameters (Å, degrees): 4.323 12.360 4.415 90.00 90.00 90.00
Fractional coordinates of all 12 atoms:
Ce: 0.000 0.159 0.250
Ce: 0.000 0.841 0.750
Ce: 0.500 0.341 0.750
Ce: 0.500 0.659 0.250
Sn: 0.000 0.426 0.250
Sn: 0.000 0.574 0.750
Sn: 0.500 0.074 0.750
Sn: 0.500 0.926 0.250
H: 0.000 0.253 0.750
H: 0.000 0.747 0.250
H: 0.500 0.247 0.250
H: 0.500 0.753 0.750

=====

What should be chosen as the most stable of them? Choose entry R.

=====

Entry P
An optimized crystal structure of TbCe2H. Source: Alexandria, functional PBE.

Lattice parameters (Å, degrees): 3.462 3.462 26.697 90.00 90.00 120.00
Fractional coordinates of all 12 atoms:
Tb: 0.000 0.000 0.000
Tb: 0.333 0.667 0.667
Tb: 0.667 0.333 0.333
Ce: 0.000 0.000 0.223
Ce: 0.000 0.000 0.777
Ce: 0.333 0.667 0.444
Ce: 0.333 0.667 0.890
Ce: 0.667 0.333 0.110
Ce: 0.667 0.333 0.556
H: 0.000 0.000 0.500
H: 0.333 0.667 0.167
H: 0.667 0.333 0.833

=====

Entry Q
An optimized crystal structure of TbCe2H. Source: Alexandria, functional PBE.

Lattice parameters (Å, degrees): 3.233 3.233 8.476 90.00 90.00 90.00
Fractional coordinates of all 4 atoms:
Tb: 0.000 0.000 0.000
Ce: 0.500 0.500 0.337
Ce: 0.500 0.500 0.663
H: 0.000 0.000 0.500

=====

What should be chosen as the most stable of them? Choose entry P.